1.
A geometry-optimized Ac8HgIr4 structure, computed with GGA-PBE.

a b c (Å): 21.010 4.418 13.984
angles (deg): 90.00 130.27 90.00
Space group Cm (No. 8)
Unique sites:
Ac1 0.000 0.000 0.000 x2
Ac2 0.042 0.000 0.757 x2
Ac3 0.127 0.500 0.584 x2
Ac4 0.208 0.500 0.088 x2
Ac5 0.294 0.000 0.921 x2
Ac6 0.337 0.000 0.681 x2
Ac7 0.384 0.000 0.419 x2
Ac8 0.454 0.500 0.258 x2
Hg1 0.109 0.500 0.295 x2
Ir1 0.009 0.000 0.515 x2
Ir2 0.023 0.500 0.880 x2
Ir3 0.312 0.500 0.797 x2
Ir4 0.326 0.000 0.162 x2

Formation energy from the elements: -0.5562 eV per atom
Size of the total moment: 0.0 μB per cell
Energy above the most stable polymorph in this dataset: 0 meV per atom
Final energy: -5.83 eV per atom

2.
A geometry-optimized Ca2CeZn6 structure, computed with GGA-PBE.

a b c (Å): 7.8708 7.8708 3.5999
angles (deg): 90.00 90.00 120.00
Space group P6/mmm (No. 191)
Unique sites:
Ca1 0.3333 0.6667 0.0000 x2
Ce1 0.0000 0.0000 0.0000 x1
Zn1 0.0000 0.3341 0.5000 x6

Formation energy from the elements: -0.2699 eV per atom
Size of the total moment: 0.6 μB per cell
Final energy: -2.22 eV per atom

3.
A geometry-optimized Mg2TiMnN4 structure, computed with GGA-PBE.

a b c (Å): 5.143 2.996 5.288
angles (deg): 90.00 109.13 90.00
Space group P2/m (No. 10)
Unique sites:
Mg1 0.000 0.000 0.000 x1
Mg2 0.500 0.500 0.000 x1
Ti1 0.000 0.500 0.500 x1
Mn1 0.500 0.000 0.500 x1
N1 0.246 0.000 0.730 x2
N2 0.263 0.500 0.274 x2

Size of the total moment: 3.0 μB per cell
Uncorrected formation energy: -0.926 eV/atom
Final energy: -7.62 eV per atom